Entry from Alexandria via LeMat-Bulk: an optimized crystal structure of TlIn2Mo (PBEsol).

Computed properties:
Calculated density (Mg/m³): 10.80
Volume (Å³/atom): 20.374
Crystal system: orthorhombic
Space group: Cmmm, No. 65
ΔE to the lowest computed polymorph (eV per formula unit): 0.540

```
TlIn2Mo
1.0
-1.828 1.910 1.605
0.319 -3.242 4.220
3.857 3.680 0.012
In Mo Tl
2 1 1
Direct
0.000 0.500 0.000
0.000 0.000 0.500
0.500 0.000 0.000
0.500 0.500 0.500
```